A geometry-optimized GdCo2Si2Ir structure, computed with PBE-GGA.

Geometry as POSCAR:
```
GdCo2Si2Ir
1.0
2.584 -4.701 0.000
2.584 4.701 0.000
0.000 0.000 3.586
Gd Co Si Ir
1 2 2 1
Cartesian
0.000 0.000 0.000
1.292 2.350 1.793
1.292 -2.350 1.793
2.584 1.684 0.000
2.584 -1.684 0.000
2.584 0.000 1.793
```

Summary:
V = 87.1 Å³ per cell
SG = Cmmm (65)
M_tot = 0.0 μB per formula unit

***

A geometry-optimized TbGd2CoSn3Ir2 structure, computed with PBE-GGA.

Geometry as POSCAR:
```
TbGd2CoSn3Ir2
1.0
3.839 0.000 0.000
0.000 6.530 3.775
0.000 -6.530 3.775
Tb Gd Co Sn Ir
1 2 1 3 2
Cartesian
0.000 0.000 0.000
0.000 -2.665 4.620
0.000 2.665 4.620
0.000 0.000 3.075
1.920 -1.638 2.129
1.920 1.638 2.129
1.920 0.000 4.977
1.920 -4.361 3.081
1.920 4.361 3.081
```

Summary:
V = 189.3 Å³ per cell
SG = Amm2 (38)
M_tot = 0.0 μB per formula unit

***

A geometry-optimized Gd2TmCoSn3Ir2 structure, computed with PBE-GGA.

Geometry as POSCAR:
```
Gd2TmCoSn3Ir2
1.0
3.803 0.000 0.000
0.000 6.507 3.781
0.000 -6.507 3.781
Gd Tm Co Sn Ir
2 1 1 3 2
Cartesian
0.000 -3.863 3.781
0.000 3.863 3.781
0.000 0.000 2.958
0.000 0.000 6.013
1.901 0.000 0.382
1.901 -1.632 5.063
1.901 1.632 5.063
1.901 -2.137 2.253
1.901 2.137 2.253
```

Summary:
V = 187.1 Å³ per cell
SG = Amm2 (38)
M_tot = 0.0 μB per formula unit

***

A geometry-optimized Gd2ZnCoIr structure, computed with PBE-GGA.

Geometry as POSCAR:
```
Gd2ZnCoIr
1.0
-2.085 4.180 2.825
2.085 -4.180 2.825
2.085 4.180 -2.825
Gd Zn Co Ir
2 1 1 1
Cartesian
0.000 1.745 0.000
0.000 6.615 0.000
0.000 0.000 2.760
2.085 0.000 1.298
0.000 4.180 1.671
```

Summary:
Energy relative to the elements = -50.4 kJ/mol of atoms
V = 98.4 Å³ per cell
SG = Imm2 (44)
M_tot = 0.1 μB per formula unit

***

Number 1: DFT total energy -7.235 eV/atom. Number 2: DFT total energy -6.376 eV/atom. Number 3: DFT total energy -6.362 eV/atom. Number 4: DFT total energy -5.830 eV/atom.